# AlTeCl (PBE-GGA, relaxed)
# ΔE_f (raw)   -0.236 eV/f.u.
# Symmetry   F-43m, No. 216
data_AlTeCl
_chemical_formula_sum 'Al1 Te1 Cl1'
_cell_length_a 4.875
_cell_length_b 4.875
_cell_length_c 4.875
_cell_angle_alpha 60.00
_cell_angle_beta 60.00
_cell_angle_gamma 60.00
_space_group_name_H-M_alt 'P 1'
_space_group_IT_number 1
_space_group_name_Hall 'P 1'
loop_
_atom_site_label
_atom_site_fract_x
_atom_site_fract_y
_atom_site_fract_z
Te1 0.750 0.750 0.750
Al1 0.000 0.000 0.000
Cl1 0.500 0.500 0.500